1.
Here is crystalline Pm3Dy2Er7 at its relaxed geometry from Alexandria via LeMat-Bulk. Energies are from GGA-PBE.

The structure in POSCAR format:
```
Pm3Dy2Er7
1.0
3.5099 0.0000 0.0000
0.0000 6.2660 0.7325
0.0000 2.3708 17.7142
Pm Dy Er
3 2 7
Direct
0.5000 0.5000 0.0000
0.0000 0.1114 0.3416
0.0000 0.8886 0.6584
0.5000 0.6180 0.3260
0.5000 0.3820 0.6740
0.5000 0.2463 0.5005
0.5000 0.7537 0.4995
0.0000 0.5643 0.1653
0.0000 0.0000 0.0000
0.0000 0.4357 0.8347
0.5000 0.9410 0.8340
0.5000 0.0590 0.1660
```

Calculated values
The total energy comes out at -4.529 eV per atom.



2.
Here is crystalline Tb2PuMoN4 at its relaxed geometry from Alexandria via LeMat-Bulk. Energies are from GGA-PBE.

The structure in POSCAR format:
```
Tb2PuMoN4
1.0
-1.9563 -0.6700 -2.6633
-2.1660 -3.4517 4.5939
-7.4134 8.9146 3.2028
Tb Pu Mo N
4 2 2 8
Direct
0.3705 0.7411 0.5393
0.6295 0.2589 0.0393
0.6295 0.2589 0.4607
0.3705 0.7411 0.9607
0.0923 0.1847 0.7500
0.9077 0.8153 0.2500
0.8324 0.6647 0.7500
0.1676 0.3353 0.2500
0.2661 0.5322 0.1242
0.7339 0.4678 0.6242
0.7339 0.4678 0.8758
0.2661 0.5322 0.3758
0.0000 0.0000 0.5000
0.0000 0.0000 0.0000
0.4447 0.8894 0.7500
0.5553 0.1106 0.2500
```

Calculated values
The total energy comes out at -9.504 eV per atom. As for the uncorrected formation energy: -1.038 eV per atom.



3.
Here is crystalline Li2AgGe2 at its relaxed geometry from Alexandria via LeMat-Bulk. Energies are from GGA-PBE.

The structure in POSCAR format:
```
Li2AgGe2
1.0
-0.2834 -0.4473 7.2708
-6.6945 -2.8527 -0.4365
1.2243 -2.8535 -0.1278
Ge Ag Li
4 2 4
Direct
0.3771 0.8771 0.0000
0.8771 0.6229 0.0000
0.6229 0.1229 0.0000
0.1229 0.3771 0.0000
0.0000 0.0000 0.0000
0.5000 0.5000 0.0000
0.1797 0.6797 0.5000
0.6797 0.8203 0.5000
0.8203 0.3203 0.5000
0.3203 0.1797 0.5000
```

Calculated values
The total energy comes out at -3.358 eV per atom. Its offset from the most stable computed form is 0 meV per atom.



4.
Here is crystalline GeBi2I8 at its relaxed geometry from Alexandria via LeMat-Bulk. Energies are from GGA-PBE.

The structure in POSCAR format:
```
GeBi2I8
1.0
4.0889 0.0000 -0.8686
-0.0590 11.2075 -0.2779
0.2288 0.5804 11.1357
I Ge Bi
8 1 2
Direct
0.5987 0.5617 0.1975
0.3624 0.0362 0.7248
0.2414 0.2931 0.4828
0.9968 0.8070 0.9936
0.7586 0.7069 0.5172
0.6376 0.9638 0.2752
0.4013 0.4383 0.8025
0.0032 0.1930 0.0064
0.5000 0.0000 0.0000
0.1495 0.7412 0.2990
0.8505 0.2588 0.7010
```

Calculated values
The total energy comes out at -2.607 eV per atom. As for the uncorrected formation energy: -0.354 eV per atom.



5.
Here is crystalline Pr2NdCd2Ag2 at its relaxed geometry from Alexandria via LeMat-Bulk. Energies are from GGA-PBE.

The structure in POSCAR format:
```
Pr2NdCd2Ag2
1.0
4.9481 0.0000 0.0000
2.4740 4.2852 0.0000
2.4740 1.4284 9.0136
Pr Nd Cd Ag
2 1 2 2
Direct
0.1244 0.1244 0.6268
0.8756 0.8756 0.3732
0.0000 0.0000 0.0000
0.7345 0.7345 0.7966
0.2655 0.2655 0.2034
0.6032 0.6032 0.1905
0.3968 0.3968 0.8095
```

Calculated values
The total energy comes out at -3.324 eV per atom.



6.
Here is crystalline Sc2TiSiN at its relaxed geometry from Alexandria via LeMat-Bulk. Energies are from GGA-PBE.

The structure in POSCAR format:
```
Sc2TiSiN
1.0
4.3724 0.0000 0.0000
0.0000 4.3724 0.0000
0.0000 0.0000 4.0478
Sc Si N Ti
2 1 1 1
Direct
0.0000 0.5000 0.0000
0.5000 0.0000 0.0000
0.5000 0.5000 0.5000
0.0000 0.0000 0.0000
0.0000 0.0000 0.5000
```

Calculated values
The total energy comes out at -7.906 eV per atom. As for the uncorrected formation energy: -1.045 eV per atom.



7.
Here is crystalline Sr3MgB at its relaxed geometry from Alexandria via LeMat-Bulk. Energies are from GGA-PBE.

The structure in POSCAR format:
```
Sr3MgB
1.0
-3.6251 4.2450 1.2846
-1.4209 0.4600 -5.5300
-4.2014 -3.8183 0.7619
Sr Mg B
3 1 1
Direct
0.0000 0.5000 0.0000
0.0000 0.0000 0.5000
0.5000 0.0000 0.0000
0.5000 0.5000 0.5000
0.0000 0.0000 0.0000
```

Calculated values
The total energy comes out at -2.336 eV per atom. Its offset from the most stable computed form is 0 meV per atom.



8.
Here is crystalline Er4ZnNiRu2 at its relaxed geometry from Alexandria via LeMat-Bulk. Energies are from GGA-PBE.

The structure in POSCAR format:
```
Er4ZnNiRu2
1.0
-3.3389 -3.4588 -0.0845
1.3222 -4.6100 -0.3431
-0.3590 -3.1837 7.7035
Er Zn Ni Ru
4 1 1 2
Direct
0.3781 0.3781 0.8656
0.8726 0.8726 0.3823
0.1274 0.1274 0.6177
0.6219 0.6219 0.1344
0.0000 0.0000 0.0000
0.5000 0.5000 0.5000
0.7492 0.7492 0.7523
0.2508 0.2508 0.2477
```

Calculated values
The total energy comes out at -5.913 eV per atom.